Crystalline Pr6AlIn at its relaxed geometry. Source: Alexandria, functional PBE-GGA.

Cell: 4.9805 4.9805 9.9597 Å, 90.00 90.00 90.00°
With the nearest neighbours (Å) after each atom.
Sites, in units of the cell vectors:
Pr: 0.5000 0.5000 0.5000  8 Pr 3.48, 4 Al 3.52
Pr: 0.0000 0.5000 0.2558  8 Pr 3.48-3.56, 2 Al 3.48, 2 In 3.56
Pr: 0.5000 0.5000 0.0000  4 In 3.52, 8 Pr 3.56
Pr: 0.0000 0.5000 0.7442  2 Al 3.48, 8 Pr 3.48-3.56, 2 In 3.56
Pr: 0.5000 0.0000 0.2558  8 Pr 3.48-3.56, 2 Al 3.48, 2 In 3.56
Pr: 0.5000 0.0000 0.7442  2 Al 3.48, 8 Pr 3.48-3.56, 2 In 3.56
Al: 0.0000 0.0000 0.5000  12 Pr 3.48-3.52
In: 0.0000 0.0000 0.0000  12 Pr 3.52-3.56

## Properties
* total magnetization: 0.000 μB per atom
* crystal system: tetragonal
* space group: P4/mmm
* ρ: 6.64 g/cm³
* density of states at the Fermi level: 12.539 states/eV/cell
* calculated total energy: -36.92 eV for the cell shown

---

Crystalline PrAlIn2 at its relaxed geometry. Source: Alexandria, functional PBE-GGA.

Cell: 4.6750 4.6750 6.1693 Å, 67.73 67.73 60.00°
With the nearest neighbours (Å) after each atom.
Sites, in units of the cell vectors:
Al: 0.0000 0.0000 0.0000  6 In 2.87
In: 0.2750 0.2750 0.1749  3 Al 2.87
In: 0.7250 0.7250 0.8251  3 Al 2.87
Pr: 0.5000 0.5000 0.5000  6 In 3.25

## Properties
* total magnetization: 0.000 μB per atom
* crystal system: trigonal
* space group: R-3m
* ρ: 6.29 g/cm³
* density of states at the Fermi level: 1.437 states/eV/cell
* calculated total energy: -14.99 eV for the cell shown

---

Crystalline Pr4Al2In at its relaxed geometry. Source: Alexandria, functional PBE-GGA.

Cell: 5.3211 5.3211 9.1220 Å, 73.04 73.04 60.00°
With the nearest neighbours (Å) after each atom.
Sites, in units of the cell vectors:
Pr: 0.8691 0.8691 0.3928  4 Al 3.15-3.34, 1 In 3.37
Pr: 0.1309 0.1309 0.6072  4 Al 3.15-3.34, 1 In 3.37
Pr: 0.3838 0.3838 0.8487  4 Al 3.17-3.36, 3 In 3.34
Pr: 0.6162 0.6162 0.1513  4 Al 3.17-3.36, 3 In 3.34
Al: 0.2532 0.2532 0.2404  8 Pr 3.15-3.36
Al: 0.7468 0.7468 0.7596  8 Pr 3.15-3.36
In: 0.0000 0.0000 0.0000  8 Pr 3.34-3.37, 6 Al 3.70

## Properties
* total magnetization: 0.000 μB per atom
* crystal system: trigonal
* space group: R-3m
* ρ: 5.77 g/cm³
* density of states at the Fermi level: 7.615 states/eV/cell
* calculated total energy: -31.12 eV for the cell shown

---

Number 1: calculated formation energy -0.2198 eV/atom. Number 2: calculated formation energy -0.2477 eV/atom. Number 3: calculated formation energy -0.2539 eV/atom.